Record 1
Entry from the Alexandria database: a relaxed SnPI2N crystal (PBE).

- uncorrected energy (eV per atom) = -3.06
- volume (A^3/atom) = 28.196
- ΔE to the lowest computed polymorph (kJ per mole of atoms) = 63.23

Cell: 6.043 6.043 3.860 Å, 90.00 90.00 90.00°
Space group P4/mmm (No. 123)
Unique sites:
Sn1 0.000 0.000 0.000 (multiplicity 1)
P1 0.500 0.500 0.500 (multiplicity 1)
I1 0.000 0.500 0.000 (multiplicity 2)
N1 0.000 0.000 0.500 (multiplicity 1)


Record 2
Entry from the Alexandria database: a relaxed In2IrBr crystal (PBE).

- uncorrected energy (eV per atom) = -3.53
- volume (A^3/atom) = 25.138
- ΔE to the lowest computed polymorph (kJ per mole of atoms) = 56.45

Cell: 3.479 4.416 6.545 Å, 90.00 90.00 90.00°
Space group Pmmm (No. 47)
Unique sites:
In1 0.000 0.000 0.000 (multiplicity 1)
In2 0.500 0.000 0.500 (multiplicity 1)
Ir1 0.000 0.500 0.500 (multiplicity 1)
Br1 0.500 0.500 0.000 (multiplicity 1)


Record 3
Entry from the Alexandria database: a relaxed Er2GaNi6 crystal (PBE).

- E_form (eV/f.u.) = -4.03
- uncorrected energy (eV per atom) = -5.65
- volume (A^3/atom) = 14.586
- ΔE to the lowest computed polymorph (kJ per mole of atoms) = 0.00

Cell: 8.942 5.249 5.754 Å, 90.00 103.57 90.00°
Space group C2/m (No. 12)
Unique sites:
Er1 0.144 0.000 0.339 (multiplicity 4)
Ga1 0.000 0.500 0.500 (multiplicity 2)
Ni1 0.119 0.500 0.171 (multiplicity 4)
Ni2 0.136 0.235 0.833 (multiplicity 8)


Record 4
Entry from the Alexandria database: a relaxed TbPm2Sm4Tm2 crystal (PBE).

- E_form (eV/f.u.) = 0.18
- uncorrected energy (eV per atom) = -4.64
- volume (A^3/atom) = 32.823

Cell: 15.273 5.088 8.019 Å, 90.00 108.53 90.00°
Space group C2/m (No. 12)
Unique sites:
Tb1 0.000 0.000 0.000 (multiplicity 2)
Pm1 0.112 0.000 0.668 (multiplicity 4)
Sm1 0.055 0.500 0.331 (multiplicity 4)
Sm2 0.222 0.000 0.330 (multiplicity 4)
Tm1 0.167 0.500 0.000 (multiplicity 4)